Model 1:
5
Lattice="-1.399 4.161 2.731 -3.023 -2.964 2.968 3.955 -0.793 3.235" Properties=species:S:1:pos:R:3 comment="Ho3MgFe, optimized geometry, DFT PBE" total_magnetization_mub_per_cell=0.00 pbc="T T T"
Mg -0.234 0.202 4.467
Ho -1.511 -1.482 1.484
Ho 1.977 -0.396 1.617
Ho -0.700 2.081 1.365
Fe 0.000 0.000 0.000



Model 2:
20
Lattice="3.529 0.000 0.000 0.000 9.007 0.000 0.000 0.000 16.305" Properties=species:S:1:pos:R:3 comment="Ho3MgFe, optimized geometry, DFT PBE" total_magnetization_mub_per_cell=5.58 pbc="T T T"
Ho 0.882 1.848 8.121
Ho 2.647 2.656 16.273
Ho 2.647 7.159 8.184
Ho 0.882 6.351 0.032
Ho 0.882 2.132 13.239
Ho 2.647 2.371 5.087
Ho 2.647 6.875 3.066
Ho 0.882 6.636 11.218
Ho 0.882 0.746 2.396
Ho 2.647 3.758 10.548
Ho 2.647 8.261 13.909
Ho 0.882 5.249 5.757
Mg 0.882 4.046 2.615
Mg 2.647 0.457 10.767
Mg 2.647 4.961 13.690
Mg 0.882 8.550 5.538
Fe 0.882 0.459 15.742
Fe 2.647 4.045 7.589
Fe 2.647 8.548 0.563
Fe 0.882 4.962 8.716



Which structure is the most stable? The one labeled model 2.



Model 1:
16
Lattice="-0.245 -6.460 -5.385 5.527 -4.931 -4.004 -0.088 -3.921 4.708" Properties=species:S:1:pos:R:3 comment="HoMnFe2, optimized geometry, DFT PBE" total_magnetization_mub_per_cell=15.38 pbc="T T T"
Ho 1.327 -3.684 1.942
Ho 4.011 -7.421 -5.104
Ho 4.112 -5.169 -1.237
Ho 1.182 -7.891 0.423
Mn 3.967 -9.382 -2.750
Mn 1.226 -5.931 -1.931
Mn 1.371 -1.727 -0.407
Mn 3.823 -13.585 -4.274
Fe 0.000 0.000 0.000
Fe 2.597 -7.656 -2.340
Fe 4.033 -8.283 -0.825
Fe 1.161 -7.029 -3.856
Fe 3.880 -11.472 -3.484
Fe 1.314 -3.840 -1.197
Fe 2.763 -2.465 -2.002
Fe -0.167 -5.191 -0.339



Model 2:
4
Lattice="3.957 0.000 0.000 1.979 3.427 0.000 1.979 1.142 4.864" Properties=species:S:1:pos:R:3 comment="HoMnFe2, optimized geometry, DFT PBE" total_magnetization_mub_per_cell=1.30 pbc="T T T"
Mn 0.000 0.000 0.000
Ho 3.957 2.285 2.432
Fe 5.936 3.427 4.451
Fe 1.979 1.142 0.413



Which structure is the most stable? The one labeled model 2.



Model 1:
12
Lattice="6.956 0.000 0.000 -3.478 6.071 0.000 0.000 0.000 7.362" Properties=species:S:1:pos:R:3 comment="NdHoFe, optimized geometry, DFT PBE" total_magnetization_mub_per_cell=3.32 pbc="T T T"
Fe 3.478 1.092 3.987
Fe 3.478 4.980 0.306
Fe 0.000 4.980 3.375
Fe 0.000 1.092 7.056
Ho 1.739 0.500 1.841
Ho -1.739 5.571 5.522
Ho 1.739 5.571 5.522
Ho 5.217 0.500 1.841
Nd 3.478 3.670 2.852
Nd 3.478 2.402 6.533
Nd 0.000 2.402 4.510
Nd 0.000 3.670 0.829



Model 2:
3
Lattice="-1.381 2.739 -1.533 -0.545 -1.859 -2.829 -4.849 -2.123 4.408" Properties=species:S:1:pos:R:3 comment="NdHoFe, optimized geometry, DFT PBE" total_magnetization_mub_per_cell=0.99 pbc="T T T"
Nd -3.443 -0.997 1.319
Ho -0.481 -0.139 0.184
Fe -2.851 -0.107 -1.458



Which structure is the most stable? The one labeled model 1.



Model 1:
6
Lattice="-3.316 -0.995 3.969 1.869 -3.914 -2.987 4.951 1.503 0.980" Properties=species:S:1:pos:R:3 comment="HoFeOs, optimized geometry, DFT PBE" total_magnetization_mub_per_cell=4.52 pbc="T T T"
Ho 3.750 0.572 1.472
Ho -0.245 -3.978 0.489
Fe 3.410 -1.205 -1.003
Fe 0.818 0.254 2.474
Os 1.752 -1.703 0.981
Os 0.935 -1.957 -1.493



Model 2:
12
Lattice="5.136 0.000 0.000 0.000 4.217 0.000 0.000 0.000 10.011" Properties=species:S:1:pos:R:3 comment="HoFeOs, optimized geometry, DFT PBE" total_magnetization_mub_per_cell=8.78 pbc="T T T"
Fe 3.852 2.109 0.614
Fe 3.852 4.217 5.620
Fe 1.284 2.109 9.397
Fe 1.284 0.000 4.391
Os 2.568 0.000 0.000
Os 2.568 2.109 5.005
Os 0.000 2.109 5.005
Os 0.000 0.000 0.000
Ho 3.852 2.108 7.898
Ho 1.284 4.217 7.118
Ho 3.852 0.001 2.893
Ho 1.284 2.109 2.112



Which structure is the most stable? The one labeled model 1.



Model 1:
18
Lattice="-1.621 2.822 1.762 2.775 -3.524 4.312 8.935 5.776 -1.030" Properties=species:S:1:pos:R:3 comment="HoFe5P3, optimized geometry, DFT PBE" total_magnetization_mub_per_cell=10.39 pbc="T T T"
Ho 7.167 4.370 3.481
Ho 2.922 0.703 1.563
Fe 4.307 2.625 3.645
Fe 9.118 4.604 1.014
Fe 4.468 2.888 -0.515
Fe 0.000 0.000 0.000
Fe 3.049 -1.139 4.630
Fe 7.040 6.212 0.413
Fe 5.059 4.932 0.642
Fe 0.971 0.469 4.029
Fe 5.782 2.448 1.399
Fe 5.030 0.142 4.402
P 9.977 3.949 2.854
P 2.968 1.194 4.706
P 6.330 1.592 3.275
P 3.760 3.482 1.768
P 7.122 3.880 0.338
P 0.113 1.125 2.189



Model 2:
36
Lattice="-0.185 3.308 -1.524 -1.895 -4.316 -9.138 -11.581 0.376 2.224" Properties=species:S:1:pos:R:3 comment="HoFe5P3, optimized geometry, DFT PBE" total_magnetization_mub_per_cell=6.03 pbc="T T T"
Ho -9.303 -1.413 -4.119
Ho -4.156 -3.065 -8.329
Ho -4.358 0.782 -4.319
Ho -9.506 2.433 -0.109
Fe -12.844 -1.856 -4.650
Fe -7.213 -2.407 -6.531
Fe -0.817 1.225 -3.788
Fe -6.448 1.776 -1.907
Fe -6.492 -0.737 -2.993
Fe -11.695 0.790 0.955
Fe -7.169 0.106 -5.445
Fe -1.967 -1.422 -9.393
Fe -2.505 -0.055 -1.997
Fe -8.410 -0.128 -1.438
Fe -11.157 -0.577 -6.441
Fe -5.252 -0.503 -7.000
Fe -9.833 -2.687 -6.819
Fe -3.568 -1.793 -5.640
Fe -3.828 2.055 -1.619
Fe -10.094 1.161 -2.798
Fe -11.724 -0.822 -2.540
Fe -5.125 0.831 0.245
Fe -1.937 0.190 -5.898
Fe -8.536 -1.463 -8.683
P -2.156 -0.955 -3.993
P -7.292 0.724 0.276
P -11.505 0.323 -4.445
P -6.370 -1.356 -8.714
P -10.645 0.008 -0.870
P -4.796 -0.044 -1.695
P -3.016 -0.640 -7.568
P -8.866 -0.587 -6.742
P -5.778 -1.617 -4.989
P -12.134 -2.717 -6.604
P -7.884 0.985 -3.449
P -1.528 2.085 -1.834



Which structure is the most stable? The one labeled model 2.



Model 1:
4
Lattice="-0.395 -4.661 -0.426 2.561 -2.834 2.734 -2.078 -2.501 3.390" Properties=species:S:1:pos:R:3 comment="HoPaFe2, optimized geometry, DFT PBE" total_magnetization_mub_per_cell=1.01 pbc="T T T"
Pa 0.000 0.000 0.000
Ho 0.044 -4.998 2.849
Fe 0.022 -2.499 1.425
Fe 0.066 -7.497 4.274



Model 2:
4
Lattice="3.459 0.000 0.000 1.729 2.996 0.000 1.729 0.999 7.402" Properties=species:S:1:pos:R:3 comment="HoPaFe2, optimized geometry, DFT PBE" total_magnetization_mub_per_cell=1.29 pbc="T T T"
Pa 0.000 0.000 0.000
Ho 3.459 1.997 3.701
Fe 5.188 2.996 5.770
Fe 1.729 0.999 1.632



Which structure is the most stable? The one labeled model 1.